1.
Material: KTaBeAu2
Method: DFT, PBE
State: optimized geometry

Unit cell a=5.2926 b=5.2926 c=5.4678 alpha=90.00 beta=90.00 gamma=90.00
Last column: nearest neighbours and their distance in Å.
Atoms (fractional coordinates):
K 0.0000 0.0000 0.0000  4 Au 2.65, 2 Ta 2.73
Ta 0.0000 0.0000 0.5000  2 K 2.73
Be 0.5000 0.5000 0.5000  4 Ta 3.74, 8 Au 3.80
Au 0.0000 0.5000 0.0000  2 K 2.65
Au 0.5000 0.0000 0.0000  2 K 2.65

* crystal system: tetragonal

2.
Material: LaBeAu3
Method: DFT, PBE
State: optimized geometry

Unit cell a=6.5449 b=6.5449 c=5.3637 alpha=90.00 beta=90.00 gamma=120.00
Last column: nearest neighbours and their distance in Å.
Atoms (fractional coordinates):
La 0.3333 0.6667 0.2500  12 Au 3.20-3.28
La 0.6667 0.3333 0.7500  12 Au 3.20-3.28
Be 0.0000 0.0000 0.0000  6 Au 2.44, 2 Be 2.68
Be 0.0000 0.0000 0.5000  6 Au 2.44, 2 Be 2.68
Au 0.1801 0.3602 0.7500  2 Be 2.44
Au 0.1801 0.8199 0.7500  2 Be 2.44
Au 0.3602 0.1801 0.2500  2 Be 2.44
Au 0.6398 0.8199 0.7500  2 Be 2.44
Au 0.8199 0.1801 0.2500  2 Be 2.44
Au 0.8199 0.6398 0.2500  2 Be 2.44

* crystal system: hexagonal

3.
Material: LaBe2Au
Method: DFT, PBE
State: optimized geometry

Unit cell a=3.4391 b=3.7119 c=5.9234 alpha=90.00 beta=106.76 gamma=90.00
Last column: nearest neighbours and their distance in Å.
Atoms (fractional coordinates):
La 0.0000 0.0000 0.0000  7 Be 2.98-3.13
Be 0.2703 0.0000 0.5386  2 Be 2.13
Be 0.3618 0.5000 0.7215  2 Be 2.13, 2 Au 2.33
Au 0.7240 0.5000 0.4436  6 Be 2.33-2.59

* crystal system: monoclinic

4.
Material: La2BeAu
Method: DFT, PBE
State: optimized geometry

Unit cell a=5.5267 b=5.5267 c=17.3363 alpha=90.00 beta=90.00 gamma=90.00
Last column: nearest neighbours and their distance in Å.
Atoms (fractional coordinates):
La 0.2340 0.2500 0.1250  2 Be 2.88, 2 Au 2.96
La 0.2500 0.7340 0.3750  2 Be 2.88, 2 Au 2.96
La 0.2500 0.7660 0.8750  2 Be 2.88, 2 Au 2.96
La 0.2660 0.2500 0.6250  2 Be 2.88, 2 Au 2.96
La 0.7340 0.7500 0.6250  2 Be 2.88, 2 Au 2.96
La 0.7500 0.2340 0.8750  2 Be 2.88, 2 Au 2.96
La 0.7500 0.2660 0.3750  2 Be 2.88, 2 Au 2.96
La 0.7660 0.7500 0.1250  2 Be 2.88, 2 Au 2.96
Be 0.0000 0.0000 0.0000  4 La 2.88
Be 0.0000 0.5000 0.2500  4 La 2.88
Be 0.5000 0.0000 0.7500  4 La 2.88
Be 0.5000 0.5000 0.5000  4 La 2.88
Au 0.0000 0.0000 0.5000  4 La 2.96
Au 0.0000 0.5000 0.7500  4 La 2.96
Au 0.5000 0.0000 0.2500  4 La 2.96
Au 0.5000 0.5000 0.0000  4 La 2.96

* crystal system: tetragonal

5.
Material: La2BeAu
Method: DFT, PBE
State: optimized geometry

Unit cell a=4.7260 b=4.3255 c=5.5776 alpha=90.00 beta=114.95 gamma=90.00
Last column: nearest neighbours and their distance in Å.
Atoms (fractional coordinates):
La 0.0000 0.0000 0.0000  3 Au 3.03-3.12, 4 Be 3.38
La 0.3037 0.5000 0.6083  3 Be 3.06-3.10, 4 Au 3.37
Be 0.6063 0.5000 0.2128  2 Au 2.36
Au 0.7001 0.0000 0.4016  2 Be 2.36

* crystal system: monoclinic

6.
Material: LaBe2Au
Method: DFT, PBE
State: optimized geometry

Unit cell a=6.9951 b=4.0427 c=5.8650 alpha=90.00 beta=113.90 gamma=90.00
Last column: nearest neighbours and their distance in Å.
Atoms (fractional coordinates):
La 0.0000 0.0000 0.0000  4 Be 3.07-3.28, 4 Au 3.08-3.28
La 0.5000 0.5000 0.0000  4 Be 3.07-3.28, 4 Au 3.08-3.28
Be 0.3087 0.5000 0.4269  3 Be 2.36, 3 Au 2.46-2.47
Be 0.4985 0.0000 0.4957  3 Be 2.36, 3 Au 2.37
Be 0.8087 0.0000 0.4269  3 Be 2.36, 3 Au 2.46-2.47
Be 0.9985 0.5000 0.4957  3 Be 2.36, 3 Au 2.37
Au 0.1916 0.0000 0.5746  6 Be 2.37-2.47
Au 0.6916 0.5000 0.5746  6 Be 2.37-2.47

* crystal system: monoclinic

Number 1: ΔH_f (0 K) 2.522 eV/atom, total energy -2.124 eV/atom. Number 2: ΔH_f (0 K) -0.562 eV/atom, total energy -4.259 eV/atom. Number 3: ΔH_f (0 K) -0.108 eV/atom, total energy -4.022 eV/atom. Number 4: ΔH_f (0 K) 0.352 eV/atom, total energy -3.863 eV/atom. Number 5: ΔH_f (0 K) -0.336 eV/atom, total energy -4.551 eV/atom. Number 6: ΔH_f (0 K) -0.253 eV/atom, total energy -4.167 eV/atom.